Record 1
VASP calculation (PBE) on a geometry-optimized Mg3PdC structure. Values from VASP.

Distance to the lowest polymorph of the same formula: 5.521 eV/f.u.
ρ: 2.69 Mg/m³
M_tot: 1.33 μB/f.u.
ΔE_f: 104 kJ per mole of atoms

Geometry as Quantum ESPRESSO input:
```
&SYSTEM
  ibrav = 0, nat = 5, ntyp = 3
/
ATOMIC_SPECIES
Mg 24.30 Mg.upf
C 12.01 C.upf
Pd 106.42 Pd.upf
ATOMIC_POSITIONS crystal
Mg 0.000 0.500 0.000
Mg 0.000 0.000 0.500
Mg 0.500 0.000 0.000
C 0.500 0.500 0.500
Pd 0.000 0.000 0.000
CELL_PARAMETERS angstrom
-1.617 4.346 1.608
-2.105 -2.206 3.846
4.129 0.578 2.590
```

Record 2
VASP calculation (PBE) on a geometry-optimized MgPdRh2C structure. Values from VASP.

ρ: 8.42 Mg/m³
M_tot: 0.00 μB/f.u.
ΔE_f: -23 kJ per mole of atoms

Geometry as Quantum ESPRESSO input:
```
&SYSTEM
  ibrav = 0, nat = 5, ntyp = 4
/
ATOMIC_SPECIES
Mg 24.30 Mg.upf
Rh 102.91 Rh.upf
C 12.01 C.upf
Pd 106.42 Pd.upf
ATOMIC_POSITIONS crystal
Mg 0.500 0.500 0.500
Rh 0.000 0.500 0.000
Rh 0.500 0.000 0.000
C 0.000 0.000 0.000
Pd 0.000 0.000 0.500
CELL_PARAMETERS angstrom
4.048 0.000 0.000
0.000 4.048 0.000
0.000 0.000 4.196
```

Record 3
VASP calculation (PBE) on a geometry-optimized MgSc2PdC structure. Values from VASP.

Distance to the lowest polymorph of the same formula: 0.641 eV/f.u.
ρ: 4.46 Mg/m³
M_tot: 0.00 μB/f.u.
ΔE_f: -29 kJ per mole of atoms

Geometry as Quantum ESPRESSO input:
```
&SYSTEM
  ibrav = 0, nat = 5, ntyp = 4
/
ATOMIC_SPECIES
Sc 44.96 Sc.upf
Mg 24.30 Mg.upf
C 12.01 C.upf
Pd 106.42 Pd.upf
ATOMIC_POSITIONS crystal
Sc 0.000 0.500 0.000
Sc 0.500 0.000 0.000
Mg 0.500 0.500 0.500
C 0.000 0.000 0.000
Pd 0.000 0.000 0.500
CELL_PARAMETERS angstrom
4.519 0.000 0.000
0.000 4.519 0.000
0.000 0.000 4.246
```

Record 4
VASP calculation (PBE) on a geometry-optimized MgSc2PdC structure. Values from VASP.

Distance to the lowest polymorph of the same formula: 0.000 eV/f.u.
ρ: 4.48 Mg/m³
M_tot: 0.00 μB/f.u.
ΔE_f: -42 kJ per mole of atoms

Geometry as Quantum ESPRESSO input:
```
&SYSTEM
  ibrav = 0, nat = 5, ntyp = 4
/
ATOMIC_SPECIES
Sc 44.96 Sc.upf
Mg 24.30 Mg.upf
C 12.01 C.upf
Pd 106.42 Pd.upf
ATOMIC_POSITIONS crystal
Sc 0.000 0.500 0.000
Sc 0.500 0.000 0.000
Mg 0.000 0.000 0.500
C 0.000 0.000 0.000
Pd 0.500 0.500 0.500
CELL_PARAMETERS angstrom
-1.722 0.133 4.140
-0.272 -4.477 0.031
3.945 -0.228 1.648
```

Record 5
VASP calculation (PBE) on a geometry-optimized SrMgPdC2 structure. Values from VASP.

ρ: 3.36 Mg/m³
M_tot: 0.04 μB/f.u.
ΔE_f: 255 kJ per mole of atoms

Geometry as Quantum ESPRESSO input:
```
&SYSTEM
  ibrav = 0, nat = 5, ntyp = 4
/
ATOMIC_SPECIES
Sr 87.62 Sr.upf
Mg 24.30 Mg.upf
C 12.01 C.upf
Pd 106.42 Pd.upf
ATOMIC_POSITIONS crystal
Sr 0.000 0.000 0.000
Mg 0.000 0.500 0.000
C 0.000 0.000 0.500
C 0.500 0.000 0.000
Pd 0.500 0.500 0.500
CELL_PARAMETERS angstrom
4.514 0.000 0.000
0.000 5.876 0.000
0.000 0.000 4.514
```

Record 6
VASP calculation (PBE) on a geometry-optimized MgTi2PdC structure. Values from VASP.

ρ: 5.34 Mg/m³
M_tot: 0.00 μB/f.u.
ΔE_f: -33 kJ per mole of atoms

Geometry as Quantum ESPRESSO input:
```
&SYSTEM
  ibrav = 0, nat = 5, ntyp = 4
/
ATOMIC_SPECIES
Mg 24.30 Mg.upf
C 12.01 C.upf
Pd 106.42 Pd.upf
Ti 47.87 Ti.upf
ATOMIC_POSITIONS crystal
Mg 0.000 0.000 0.500
C 0.000 0.000 0.000
Pd 0.500 0.500 0.500
Ti 0.000 0.500 0.000
Ti 0.500 0.000 0.000
CELL_PARAMETERS angstrom
4.168 0.000 0.000
0.000 4.168 0.000
0.000 0.000 4.270
```

Record 7
VASP calculation (PBE) on a geometry-optimized Pm2MgC structure. Values from VASP.

Distance to the lowest polymorph of the same formula: 0.942 eV/f.u.
ρ: 5.34 Mg/m³
M_tot: 0.00 μB/f.u.
ΔE_f: 13 kJ per mole of atoms

Geometry as Quantum ESPRESSO input:
```
&SYSTEM
  ibrav = 0, nat = 4, ntyp = 3
/
ATOMIC_SPECIES
Pm 145.00 Pm.upf
Mg 24.30 Mg.upf
C 12.01 C.upf
ATOMIC_POSITIONS crystal
Pm 0.467 0.533 0.335
Pm 0.467 0.533 0.665
Mg 0.800 0.200 0.000
C 0.133 0.867 0.500
CELL_PARAMETERS angstrom
-1.333 3.334 0.361
-0.351 -2.384 2.686
7.835 2.756 3.469
```

Record 8
VASP calculation (PBE) on a geometry-optimized Pm2MgC structure. Values from VASP.

Distance to the lowest polymorph of the same formula: 0.477 eV/f.u.
ρ: 4.97 Mg/m³
M_tot: 0.00 μB/f.u.
ΔE_f: 2 kJ per mole of atoms

Geometry as Quantum ESPRESSO input:
```
&SYSTEM
  ibrav = 0, nat = 4, ntyp = 3
/
ATOMIC_SPECIES
Mg 24.30 Mg.upf
C 12.01 C.upf
Pm 145.00 Pm.upf
ATOMIC_POSITIONS crystal
Mg 0.000 0.000 0.000
C 0.500 0.500 0.500
Pm 0.119 0.119 0.643
Pm 0.881 0.881 0.357
CELL_PARAMETERS angstrom
-1.386 2.054 2.596
-0.100 -1.203 3.379
8.337 4.165 3.636
```

Record 9
VASP calculation (PBE) on a geometry-optimized Pm4Mg2C structure. Values from VASP.

ρ: 5.09 Mg/m³
M_tot: 0.00 μB/f.u.
ΔE_f: 5 kJ per mole of atoms

Geometry as Quantum ESPRESSO input:
```
&SYSTEM
  ibrav = 0, nat = 7, ntyp = 3
/
ATOMIC_SPECIES
Mg 24.30 Mg.upf
C 12.01 C.upf
Pm 145.00 Pm.upf
ATOMIC_POSITIONS crystal
Mg 0.633 0.633 0.734
Mg 0.367 0.367 0.266
C 0.000 0.000 0.000
Pm 0.843 0.843 0.313
Pm 0.157 0.157 0.687
Pm 0.000 0.500 0.000
Pm 0.500 0.000 0.000
CELL_PARAMETERS angstrom
5.157 0.000 0.000
0.000 5.157 0.000
2.578 2.578 7.864
```

Record 10
VASP calculation (PBE) on a geometry-optimized Pm8MgC4 structure. Values from VASP.

ρ: 6.39 Mg/m³
M_tot: 0.00 μB/f.u.
ΔE_f: -8 kJ per mole of atoms

Geometry as Quantum ESPRESSO input:
```
&SYSTEM
  ibrav = 0, nat = 13, ntyp = 3
/
ATOMIC_SPECIES
Pm 145.00 Pm.upf
Mg 24.30 Mg.upf
C 12.01 C.upf
ATOMIC_POSITIONS crystal
Pm 0.153 0.323 0.372
Pm 0.558 0.649 0.235
Pm 0.473 0.355 0.698
Pm 0.879 0.681 0.561
Pm 0.852 0.987 0.309
Pm 0.218 0.659 0.905
Pm 0.179 0.017 0.624
Pm 0.814 0.344 0.028
Mg 0.515 0.002 0.967
C 0.363 0.837 0.437
C 0.846 0.508 0.800
C 0.185 0.495 0.134
C 0.668 0.167 0.497
CELL_PARAMETERS angstrom
3.603 0.000 0.780
1.639 9.179 1.141
-0.201 -0.005 9.637
```

Record 11
VASP calculation (PBE) on a geometry-optimized Pm2MgC structure. Values from VASP.

Distance to the lowest polymorph of the same formula: 0.000 eV/f.u.
ρ: 5.30 Mg/m³
M_tot: 0.00 μB/f.u.
ΔE_f: -10 kJ per mole of atoms

Geometry as Quantum ESPRESSO input:
```
&SYSTEM
  ibrav = 0, nat = 4, ntyp = 3
/
ATOMIC_SPECIES
Pm 145.00 Pm.upf
Mg 24.30 Mg.upf
C 12.01 C.upf
ATOMIC_POSITIONS crystal
Pm 0.771 0.386 0.157
Pm 0.228 0.613 0.841
Mg 0.668 0.834 0.502
C 0.000 0.000 0.999
CELL_PARAMETERS angstrom
-2.431 -2.685 -0.267
3.073 -0.511 1.867
-3.446 4.871 6.992
```

Record 12
VASP calculation (PBE) on a geometry-optimized Pm4MgC2 structure. Values from VASP.

ρ: 5.82 Mg/m³
M_tot: 0.00 μB/f.u.
ΔE_f: -11 kJ per mole of atoms

Geometry as Quantum ESPRESSO input:
```
&SYSTEM
  ibrav = 0, nat = 7, ntyp = 3
/
ATOMIC_SPECIES
Pm 145.00 Pm.upf
Mg 24.30 Mg.upf
C 12.01 C.upf
ATOMIC_POSITIONS crystal
Pm 0.125 0.125 0.624
Pm 0.268 0.268 0.195
Pm 0.732 0.732 0.805
Pm 0.875 0.875 0.376
Mg 0.000 0.000 0.000
C 0.429 0.429 0.713
C 0.571 0.571 0.287
CELL_PARAMETERS angstrom
3.648 0.000 0.000
1.824 3.159 0.000
1.824 1.053 15.548
```

Record 13
VASP calculation (PBE) on a geometry-optimized Pm2MgRuC structure. Values from VASP.

ρ: 6.61 Mg/m³
M_tot: 0.00 μB/f.u.
ΔE_f: -22 kJ per mole of atoms

Geometry as Quantum ESPRESSO input:
```
&SYSTEM
  ibrav = 0, nat = 5, ntyp = 4
/
ATOMIC_SPECIES
Pm 145.00 Pm.upf
Mg 24.30 Mg.upf
Ru 101.07 Ru.upf
C 12.01 C.upf
ATOMIC_POSITIONS crystal
Pm 0.000 0.000 0.500
Pm 0.000 0.500 0.000
Mg 0.500 0.500 0.500
Ru 0.500 0.000 0.000
C 0.000 0.000 0.000
CELL_PARAMETERS angstrom
-1.502 -3.081 1.956
4.231 -0.128 3.047
-2.316 3.256 3.352
```

Record 14
VASP calculation (PBE) on a geometry-optimized Pm2MgSnC structure. Values from VASP.

ρ: 6.36 Mg/m³
M_tot: 0.00 μB/f.u.
ΔE_f: -40 kJ per mole of atoms

Geometry as Quantum ESPRESSO input:
```
&SYSTEM
  ibrav = 0, nat = 5, ntyp = 4
/
ATOMIC_SPECIES
Pm 145.00 Pm.upf
Mg 24.30 Mg.upf
Sn 118.71 Sn.upf
C 12.01 C.upf
ATOMIC_POSITIONS crystal
Pm 0.000 0.000 0.500
Pm 0.000 0.500 0.000
Mg 0.500 0.000 0.000
Sn 0.500 0.500 0.500
C 0.000 0.000 0.000
CELL_PARAMETERS angstrom
-4.249 -1.239 0.364
1.470 -4.857 0.627
0.223 0.720 5.057
```

Record 15
VASP calculation (PBE) on a geometry-optimized Pr2MgC structure. Values from VASP.

ρ: 4.63 Mg/m³
M_tot: 0.00 μB/f.u.
ΔE_f: 7 kJ per mole of atoms

Geometry as Quantum ESPRESSO input:
```
&SYSTEM
  ibrav = 0, nat = 4, ntyp = 3
/
ATOMIC_SPECIES
Pr 140.91 Pr.upf
Mg 24.30 Mg.upf
C 12.01 C.upf
ATOMIC_POSITIONS crystal
Pr 0.119 0.119 0.644
Pr 0.881 0.881 0.356
Mg 0.000 0.000 0.000
C 0.500 0.500 0.500
CELL_PARAMETERS angstrom
3.636 0.000 0.000
1.818 3.148 0.000
1.818 1.049 9.978
```

Record 16
VASP calculation (PBE) on a geometry-optimized Pr4Mg2C structure. Values from VASP.

ρ: 4.73 Mg/m³
M_tot: 0.00 μB/f.u.
ΔE_f: 7 kJ per mole of atoms

Geometry as Quantum ESPRESSO input:
```
&SYSTEM
  ibrav = 0, nat = 7, ntyp = 3
/
ATOMIC_SPECIES
Pr 140.91 Pr.upf
Mg 24.30 Mg.upf
C 12.01 C.upf
ATOMIC_POSITIONS crystal
Pr 0.842 0.842 0.316
Pr 0.158 0.158 0.684
Pr 0.000 0.500 0.000
Pr 0.500 0.000 0.000
Mg 0.632 0.632 0.736
Mg 0.368 0.368 0.264
C 0.000 0.000 0.000
CELL_PARAMETERS angstrom
5.258 0.000 0.000
0.000 5.258 0.000
2.629 2.629 7.930
```

Record 17
VASP calculation (PBE) on a geometry-optimized PrMg2Ru2C structure. Values from VASP.

ρ: 6.41 Mg/m³
M_tot: 0.00 μB/f.u.
ΔE_f: -5 kJ per mole of atoms

Geometry as Quantum ESPRESSO input:
```
&SYSTEM
  ibrav = 0, nat = 6, ntyp = 4
/
ATOMIC_SPECIES
Pr 140.91 Pr.upf
Mg 24.30 Mg.upf
Ru 101.07 Ru.upf
C 12.01 C.upf
ATOMIC_POSITIONS crystal
Pr 0.000 0.000 0.500
Mg 0.500 0.500 0.737
Mg 0.500 0.500 0.263
Ru 0.500 0.000 0.000
Ru 0.000 0.500 0.000
C 0.000 0.000 0.000
CELL_PARAMETERS angstrom
-1.139 -3.436 2.100
3.780 -0.160 1.789
-1.983 3.404 4.494
```

Record 18
VASP calculation (PBE) on a geometry-optimized Mg2PtC structure. Values from VASP.

ρ: 5.84 Mg/m³
M_tot: 0.00 μB/f.u.
ΔE_f: 6 kJ per mole of atoms

Geometry as Quantum ESPRESSO input:
```
&SYSTEM
  ibrav = 0, nat = 8, ntyp = 3
/
ATOMIC_SPECIES
Mg 24.30 Mg.upf
C 12.01 C.upf
Pt 195.08 Pt.upf
ATOMIC_POSITIONS crystal
Mg 0.459 0.125 0.250
Mg 0.291 0.625 0.250
Mg 0.375 0.541 0.750
Mg 0.875 0.709 0.750
C 0.500 0.500 0.000
C 0.250 0.750 0.500
Pt 0.000 0.000 0.000
Pt 0.750 0.250 0.500
CELL_PARAMETERS angstrom
8.608 0.000 0.000
0.000 8.608 0.000
4.304 4.304 1.961
```

Record 19
VASP calculation (PBE) on a geometry-optimized MgPtC2 structure. Values from VASP.

ρ: 7.08 Mg/m³
M_tot: 0.00 μB/f.u.
ΔE_f: 93 kJ per mole of atoms

Geometry as Quantum ESPRESSO input:
```
&SYSTEM
  ibrav = 0, nat = 8, ntyp = 3
/
ATOMIC_SPECIES
Mg 24.30 Mg.upf
C 12.01 C.upf
Pt 195.08 Pt.upf
ATOMIC_POSITIONS crystal
Mg 0.500 0.500 0.000
Mg 0.250 0.750 0.500
C 0.672 0.125 0.250
C 0.078 0.625 0.250
C 0.375 0.328 0.750
C 0.875 0.922 0.750
Pt 0.000 0.000 0.000
Pt 0.750 0.250 0.500
CELL_PARAMETERS angstrom
-3.024 -3.780 -0.432
0.839 -1.201 4.634
-4.782 0.302 3.492
```

Record 20
VASP calculation (PBE) on a geometry-optimized Mg3PtC structure. Values from VASP.

Distance to the lowest polymorph of the same formula: 0.000 eV/f.u.
ρ: 5.84 Mg/m³
M_tot: 0.00 μB/f.u.
ΔE_f: -10 kJ per mole of atoms

Geometry as Quantum ESPRESSO input:
```
&SYSTEM
  ibrav = 0, nat = 5, ntyp = 3
/
ATOMIC_SPECIES
Mg 24.30 Mg.upf
C 12.01 C.upf
Pt 195.08 Pt.upf
ATOMIC_POSITIONS crystal
Mg 0.000 0.500 0.000
Mg 0.000 0.000 0.500
Mg 0.500 0.000 0.000
C 0.000 0.000 0.000
Pt 0.500 0.500 0.500
CELL_PARAMETERS angstrom
-1.927 3.190 2.148
-3.131 0.094 -2.948
-2.233 -2.884 2.280
```